Compound: W3O8
Source: Alexandria
Functional: PBE+U
Structure: relaxed

Cell and atoms, written as POSCAR:
```
W3O8
1.0
-4.4496 1.5452 -1.9072
-0.8942 -0.3150 5.3832
3.1285 6.0862 -1.5805
W O
3 8
direct
0.5000 0.0000 0.0000
0.2384 0.5363 0.1849
0.7616 0.4637 0.8151
0.1545 0.7165 0.4174
0.3702 0.2713 0.2323
0.1206 0.7063 0.9762
0.4235 0.2294 0.8369
0.6298 0.7287 0.7677
0.8455 0.2835 0.5826
0.8794 0.2937 0.0238
0.5765 0.7706 0.1631
```

Properties
As for the energy above the most stable polymorph in this dataset: 124 meV/atom. For the magnetic moment, the calculation gives 0.182 μB per atom. Its total DFT energy (no corrections) is -81.7 eV per formula unit. The space group is No. 2. The calculation puts the density at 6.41 g/cm3. Its crystal system is triclinic.